1.
# Mn2AlPd4

Crystalline Mn2AlPd4 at its relaxed geometry (PBE, the Alexandria database).

Structure (extended XYZ):
```
7
Lattice="-2.939 2.939 3.255 2.939 -2.939 3.255 2.939 2.939 -3.255" Properties=species:S:1:pos:R:3 pbc="T T T"
Mn 2.939 0.000 0.000
Mn 0.000 2.939 0.000
Al 0.000 0.000 0.000
Pd 1.470 1.470 -1.627
Pd 1.470 -1.470 1.627
Pd -1.470 1.470 1.627
Pd 1.470 1.470 1.627
```

Calculated values
E_form	-0.321	eV/atom
space-group type	No. 139


2.
# La2PrDy4Ho

Crystalline La2PrDy4Ho at its relaxed geometry (PBE, the Alexandria database).

Structure (extended XYZ):
```
16
Lattice="7.268 0.000 0.000 0.000 10.098 0.000 -0.009 0.000 7.276" Properties=species:S:1:pos:R:3 pbc="T T T"
La 0.000 0.000 0.000
La -0.005 0.000 3.638
La 0.000 5.049 0.000
La 3.634 0.000 0.000
Pr 3.630 0.000 3.638
Pr 3.634 5.049 0.000
Dy 1.813 2.566 5.430
Dy 1.813 7.531 5.430
Dy 1.824 2.567 1.847
Dy 1.824 7.531 1.847
Dy 5.436 2.567 5.429
Dy 5.436 7.531 5.429
Dy 5.447 2.566 1.846
Dy 5.447 7.531 1.846
Ho -0.005 5.049 3.638
Ho 3.630 5.049 3.638
```

Calculated values
E_form	0.024	eV/atom
space-group type	No. 10


3.
# Ti2Al5PdRh2

Crystalline Ti2Al5PdRh2 at its relaxed geometry (PBE, the Alexandria database).

Structure (extended XYZ):
```
20
Lattice="8.853 0.000 0.000 0.000 8.853 0.000 0.000 0.000 4.008" Properties=species:S:1:pos:R:3 pbc="T T T"
Ti 1.551 2.875 0.000
Ti 2.875 7.302 0.000
Ti 5.977 1.551 0.000
Ti 7.302 5.977 0.000
Al 0.000 4.426 2.004
Al 0.631 7.059 2.004
Al 1.793 0.631 2.004
Al 2.633 5.057 2.004
Al 3.796 2.633 2.004
Al 4.426 0.000 2.004
Al 5.057 6.220 2.004
Al 6.220 3.796 2.004
Al 7.059 8.222 2.004
Al 8.222 1.793 2.004
Pd 0.000 0.000 0.000
Pd 4.426 4.426 0.000
Rh 1.066 5.492 0.000
Rh 3.361 1.066 0.000
Rh 5.492 7.787 0.000
Rh 7.787 3.361 0.000
```

Calculated values
E_form	-0.657	eV/atom
space-group type	No. 127


4.
# Na3ScTc

Crystalline Na3ScTc at its relaxed geometry (PBE, the Alexandria database).

Structure (extended XYZ):
```
5
Lattice="5.636 0.000 0.000 0.000 5.636 0.000 0.000 0.000 5.636" Properties=species:S:1:pos:R:3 pbc="T T T"
Na 0.000 0.000 2.818
Na 0.000 2.818 0.000
Na 2.818 0.000 0.000
Sc 0.000 0.000 0.000
Tc 2.818 2.818 2.818
```

Calculated values
E_form	1.787	eV/atom
space-group type	No. 221


5.
# HoCuF

Crystalline HoCuF at its relaxed geometry (PBE, the Alexandria database).

Structure (extended XYZ):
```
6
Lattice="12.343 0.000 0.000 0.000 1.687 2.924 0.000 -1.687 2.924" Properties=species:S:1:pos:R:3 pbc="T T T"
Ho 2.047 0.000 0.000
Ho 10.295 0.000 0.000
Cu 0.000 0.000 1.943
Cu 6.171 0.000 1.912
F 3.393 0.000 1.952
F 8.950 0.000 1.952
```

Calculated values
raw formation energy	-1.227	eV/atom
space-group type	No. 38


6.
# Pa4TlSe8

Crystalline Pa4TlSe8 at its relaxed geometry (PBE, the Alexandria database).

Structure (extended XYZ):
```
13
Lattice="0.000 6.089 6.089 6.089 0.000 6.089 6.089 6.089 0.000" Properties=species:S:1:pos:R:3 pbc="T T T"
Pa 4.596 4.596 4.596
Pa 7.582 7.582 4.596
Pa 7.582 4.596 7.582
Pa 4.596 7.582 7.582
Tl 0.000 0.000 0.000
Se 1.728 1.728 1.728
Se 4.361 4.361 1.728
Se 4.361 1.728 4.361
Se 7.466 4.712 4.712
Se 1.728 4.361 4.361
Se 4.712 7.466 4.712
Se 4.712 4.712 7.466
Se 7.466 7.466 7.466
```

Calculated values
raw formation energy	-1.171	eV/atom
space-group type	No. 216


7.
# YTmGaAu

Crystalline YTmGaAu at its relaxed geometry (PBE, the Alexandria database).

Structure (extended XYZ):
```
4
Lattice="4.528 0.000 0.000 0.000 1.880 5.535 0.000 -1.880 5.535" Properties=species:S:1:pos:R:3 pbc="T T T"
Y 0.000 0.000 0.000
Tm 2.264 0.000 3.197
Ga 0.000 0.000 8.060
Au 2.264 0.000 6.279
```

Calculated values
E_form	-0.736	eV/atom
space-group type	No. 38


8.
# Sr3ScAl2O8

Crystalline Sr3ScAl2O8 at its relaxed geometry (PBE, the Alexandria database).

Structure (extended XYZ):
```
14
Lattice="5.670 0.000 0.000 -2.835 4.911 0.000 0.000 0.000 7.143" Properties=species:S:1:pos:R:3 pbc="T T T"
Sr 0.000 0.000 0.000
Sr 0.000 3.274 4.638
Sr 2.835 1.637 2.505
Sc 0.000 0.000 3.571
Al 0.000 3.274 1.554
Al 2.835 1.637 5.589
O 0.000 1.661 2.291
O -1.396 4.080 2.291
O 0.000 3.274 6.966
O 1.439 0.831 4.852
O 1.396 4.080 2.291
O 2.835 1.637 0.177
O 4.232 0.831 4.852
O 2.835 3.249 4.852
```

Calculated values
raw formation energy	-2.888	eV/atom
space-group type	No. 164


9.
# Sm2MoWN6

Crystalline Sm2MoWN6 at its relaxed geometry (PBE, the Alexandria database).

Structure (extended XYZ):
```
20
Lattice="5.551 0.000 0.000 0.000 5.667 0.000 -5.545 0.000 7.891" Properties=species:S:1:pos:R:3 pbc="T T T"
Sm -0.040 0.280 1.971
Sm -2.812 2.553 5.916
Sm 2.818 3.114 1.975
Sm 0.045 5.387 5.920
Mo -2.773 0.000 3.946
Mo 0.000 2.834 0.000
W 2.775 0.000 0.000
W 0.003 2.834 3.946
N -4.379 1.171 7.569
N -1.607 1.663 3.623
N -3.931 4.014 7.570
N -1.159 4.487 3.625
N -2.340 0.085 5.920
N 0.433 2.748 1.975
N -0.427 2.919 5.916
N 2.346 5.582 1.971
N 1.164 1.180 4.266
N 3.937 1.654 0.321
N 1.612 4.004 4.268
N 4.385 4.496 0.322
```

Calculated values
raw formation energy	-0.842	eV/atom
space-group type	No. 14


10.
# Hf2Co7

Crystalline Hf2Co7 at its relaxed geometry (PBE, the Alexandria database).

Structure (extended XYZ):
```
9
Lattice="2.328 -4.114 0.000 2.328 4.114 0.000 -1.721 0.000 6.020" Properties=species:S:1:pos:R:3 pbc="T T T"
Hf 0.002 0.000 1.602
Hf 2.933 0.000 4.418
Co 1.164 2.057 0.000
Co 0.623 1.369 3.936
Co 2.312 1.369 2.084
Co 1.164 -2.057 0.000
Co 2.328 0.000 0.000
Co 0.623 -1.369 3.936
Co 2.312 -1.369 2.084
```

Calculated values
E_form	-0.256	eV/atom
space-group type	No. 12


11.
# TbSm4Dy6

Crystalline TbSm4Dy6 at its relaxed geometry (PBE, the Alexandria database).

Structure (extended XYZ):
```
11
Lattice="-3.307 3.307 8.526 3.307 -3.307 8.526 3.307 3.307 -8.526" Properties=species:S:1:pos:R:3 pbc="T T T"
Tb 0.000 0.000 0.000
Sm 2.059 -2.059 5.539
Sm 1.248 1.248 2.986
Sm -2.059 2.059 5.539
Sm 2.059 2.059 11.512
Dy 3.307 0.000 0.000
Dy 2.128 2.128 -2.171
Dy 1.179 -1.179 10.696
Dy 0.000 3.307 0.000
Dy 1.179 1.179 6.355
Dy -1.179 1.179 10.696
```

Calculated values
E_form	0.303	eV/atom
space-group type	No. 121


12.
# CuHgO2F

Crystalline CuHgO2F at its relaxed geometry (PBE, the Alexandria database).

Structure (extended XYZ):
```
5
Lattice="3.887 0.000 0.000 0.000 3.887 0.000 0.000 0.000 3.891" Properties=species:S:1:pos:R:3 pbc="T T T"
Cu 0.000 0.000 0.000
Hg 1.944 1.944 1.946
O 0.000 1.944 0.000
O 1.944 0.000 0.000
F 0.000 0.000 1.946
```

Calculated values
raw formation energy	-0.410	eV/atom
space-group type	No. 123